Density functional theory data (PBE) for DyMg4Pd5 after structural relaxation.

Its symmetry is P4/mmm (123). Its density of states at the Fermi level is 2.11 states/eV per cell. The total energy comes out at -4.4464 eV per atom. As for the formation energy: -752 meV/atom. As for the crystal system: tetragonal. As for the total magnetic moment: 0.0 μB per formula unit.

a = 3.2812 Å, b = 3.2812 Å, c = 16.0445 Å
α = 90.00°, β = 90.00°, γ = 90.00°
With the nearest neighbours (Å) after each atom.
Positions (direct):
Dy: 0.0000 0.0000 0.0000  8 Pd 2.97, 4 Dy 3.28
Mg: 0.0000 0.0000 0.2124  8 Pd 2.78-2.79, 1 Mg 3.08
Mg: 0.0000 0.0000 0.4042  8 Pd 2.78-2.79, 2 Mg 3.07-3.08
Mg: 0.0000 0.0000 0.5958  8 Pd 2.78-2.79, 2 Mg 3.07-3.08
Mg: 0.0000 0.0000 0.7876  8 Pd 2.78-2.79, 1 Mg 3.08
Pd: 0.5000 0.5000 0.1154  4 Mg 2.79, 4 Dy 2.97, 1 Pd 3.08
Pd: 0.5000 0.5000 0.3077  8 Mg 2.78-2.79, 2 Pd 3.08-3.09
Pd: 0.5000 0.5000 0.5000  8 Mg 2.78, 2 Pd 3.09
Pd: 0.5000 0.5000 0.6923  8 Mg 2.78-2.79, 2 Pd 3.08-3.09
Pd: 0.5000 0.5000 0.8846  4 Mg 2.79, 4 Dy 2.97, 1 Pd 3.08